TeO2 | PBE | relaxed

Unit cell a=3.972 b=5.441 c=8.890 alpha=90.00 beta=90.00 gamma=90.00
Element x y z (fractional)
1 O 0.250 0.581 0.883
2 O 0.250 0.081 0.617
3 O 0.750 0.919 0.383
4 O 0.250 0.114 0.983
5 O 0.750 0.386 0.483
6 O 0.250 0.614 0.517
7 O 0.750 0.886 0.017
8 O 0.750 0.419 0.117
9 Te 0.750 0.242 0.938
10 Te 0.750 0.742 0.562
11 Te 0.250 0.758 0.062
12 Te 0.250 0.258 0.438

Properties
space group: Pnma (62)
M_tot: 0.0 μB/f.u.
uncorrected formation energy: -2.83 eV per formula unit
VASP energy: -0.1946 Ha/atom